[1]
The following is a GGA-PBEsol calculation of an optimized crystal structure of Ta2Ir, from Alexandria via LeMat-Bulk.

Structure (extended XYZ):
```
6
Lattice="2.975 0.000 0.000 0.000 4.633 0.000 -1.487 0.000 7.146" Properties=species:S:1:pos:R:3 pbc="T T T"
Ir 0.000 1.158 5.750
Ir 1.487 3.475 1.396
Ta 0.000 1.158 1.032
Ta 0.000 3.475 3.610
Ta 1.487 1.158 3.536
Ta 1.487 3.475 6.114
```

Properties
Space-group type: Cmcm, No. 63
Uncorrected energy (eV per atom): -11.980
Formation enthalpy at 0 K (meV/atom): -338
Spin magnetization (μB/atom): 0.000

=====

[2]
The following is a GGA-PBEsol calculation of an optimized crystal structure of RhAu, from Alexandria via LeMat-Bulk.

Structure (extended XYZ):
```
4
Lattice="2.779 0.000 0.000 0.000 4.773 0.003 -1.389 -2.220 4.588" Properties=species:S:1:pos:R:3 pbc="T T T"
Au 0.000 -1.407 3.482
Au 1.389 3.961 1.109
Rh 1.389 0.963 3.369
Rh 0.000 1.591 1.223
```

Properties
Space-group type: C2/m, No. 12
Uncorrected energy (eV per atom): -5.809
Formation enthalpy at 0 K (meV/atom): 222
Spin magnetization (μB/atom): 0.003

=====

[3]
The following is a GGA-PBEsol calculation of an optimized crystal structure of CaScSnC2, from Alexandria via LeMat-Bulk.

Structure (extended XYZ):
```
5
Lattice="4.376 0.000 0.000 0.000 4.376 0.000 0.000 0.000 5.333" Properties=species:S:1:pos:R:3 pbc="T T T"
Sc 2.188 2.188 2.666
C 0.000 2.188 0.000
C 2.188 0.000 0.000
Ca 0.000 0.000 0.000
Sn 0.000 0.000 2.666
```

Properties
Space-group type: P4/mmm, No. 123
Uncorrected energy (eV per atom): -4.462
Formation enthalpy at 0 K (meV/atom): 1995
Spin magnetization (μB/atom): 0.000

=====

[4]
The following is a GGA-PBEsol calculation of an optimized crystal structure of YBe2Ni, from Alexandria via LeMat-Bulk.

Structure (extended XYZ):
```
4
Lattice="3.765 0.000 0.000 -1.882 3.264 -0.108 0.000 -1.979 4.761" Properties=species:S:1:pos:R:3 pbc="T T T"
Y 1.882 1.134 1.156
Ni 1.882 -0.951 3.253
Be 1.882 1.250 3.823
Be 0.000 0.147 3.453
```

Properties
Space-group type: Cm, No. 8
Uncorrected energy (eV per atom): -5.493
Formation enthalpy at 0 K (meV/atom): -248
Energy above the most stable polymorph in this dataset (meV/atom): 11
Spin magnetization (μB/atom): 0.000

=====

[5]
The following is a GGA-PBEsol calculation of an optimized crystal structure of BaBe2W, from Alexandria via LeMat-Bulk.

Structure (extended XYZ):
```
4
Lattice="3.334 0.000 0.000 0.000 3.511 -0.011 0.000 -1.731 6.375" Properties=species:S:1:pos:R:3 pbc="T T T"
Be 0.000 0.658 0.627
Be 1.667 0.667 1.891
Ba 1.667 0.681 4.906
W 0.000 2.421 2.116
```

Properties
Space-group type: Pm, No. 6
Uncorrected energy (eV per atom): -5.273
Formation enthalpy at 0 K (meV/atom): 716
Energy above the most stable polymorph in this dataset (meV/atom): 0
Spin magnetization (μB/atom): 0.000

=====

[6]
The following is a GGA-PBEsol calculation of an optimized crystal structure of CdFe2Cu, from Alexandria via LeMat-Bulk.

Structure (extended XYZ):
```
4
Lattice="-1.977 -2.044 -0.429 2.681 -1.990 -2.876 1.317 -0.253 4.779" Properties=species:S:1:pos:R:3 pbc="T T T"
Cd 1.668 -2.269 3.125
Cu 2.224 -2.196 0.217
Fe 0.030 -0.041 0.056
Fe -0.232 -2.051 1.203
```

Properties
Space-group type: Imm2, No. 44
Uncorrected energy (eV per atom): -5.536
Formation enthalpy at 0 K (meV/atom): 328
Spin magnetization (μB/atom): 1.211

=====

[7]
The following is a GGA-PBEsol calculation of an optimized crystal structure of La4SiIr, from Alexandria via LeMat-Bulk.

Structure (extended XYZ):
```
6
Lattice="6.034 0.000 0.000 3.017 5.226 0.000 3.017 1.742 4.927" Properties=species:S:1:pos:R:3 pbc="T T T"
Ir 0.000 0.000 0.000
La 4.526 2.613 1.848
La 6.034 3.484 4.310
La 7.542 2.613 1.848
La 6.034 5.225 1.848
Si 9.051 5.226 3.695
```

Properties
Space-group type: F-43m, No. 216
Uncorrected energy (eV per atom): -5.589
Spin magnetization (μB/atom): 0.000

=====

[8]
The following is a GGA-PBEsol calculation of an optimized crystal structure of Na3PbS, from Alexandria via LeMat-Bulk.

Structure (extended XYZ):
```
5
Lattice="5.245 0.000 0.000 0.000 5.245 0.000 0.000 0.000 5.245" Properties=species:S:1:pos:R:3 pbc="T T T"
Pb 2.622 2.622 2.622
Na 0.000 2.622 0.000
Na 0.000 0.000 2.622
Na 2.622 0.000 0.000
S 0.000 0.000 0.000
```

Properties
Space-group type: Pm-3m, No. 221
Uncorrected energy (eV per atom): -2.868
Spin magnetization (μB/atom): 0.000

=====

[9]
The following is a GGA-PBEsol calculation of an optimized crystal structure of KAgSe, from Alexandria via LeMat-Bulk.

Structure (extended XYZ):
```
6
Lattice="4.429 0.000 0.000 0.000 4.429 0.000 0.000 0.000 7.625" Properties=species:S:1:pos:R:3 pbc="T T T"
K 0.000 2.214 2.586
K 2.214 0.000 5.040
Se 2.214 0.000 1.639
Se 0.000 2.214 5.986
Ag 0.000 0.000 0.000
Ag 2.214 2.214 0.000
```

Properties
Space-group type: P4/nmm, No. 129
Uncorrected energy (eV per atom): -3.414
Spin magnetization (μB/atom): 0.000

=====

[10]
The following is a GGA-PBEsol calculation of an optimized crystal structure of Sr4CoIr, from Alexandria via LeMat-Bulk.

Structure (extended XYZ):
```
6
Lattice="-2.112 1.069 -5.748 3.905 -0.198 -4.833 -0.358 -4.662 -4.097" Properties=species:S:1:pos:R:3 pbc="T T T"
Co 1.076 -2.843 -11.008
Ir 0.000 0.000 0.000
Sr 0.537 -1.419 -5.494
Sr 0.357 -3.763 -7.554
Sr -0.524 -0.882 -8.384
Sr 2.501 -1.519 -7.924
```

Properties
Space-group type: F-43m, No. 216
Uncorrected energy (eV per atom): -2.781
Formation enthalpy at 0 K (meV/atom): 1372
Spin magnetization (μB/atom): 0.146

=====

[11]
The following is a GGA-PBEsol calculation of an optimized crystal structure of PRuRh2, from Alexandria via LeMat-Bulk.

Structure (extended XYZ):
```
4
Lattice="-1.433 -0.889 2.169 -1.389 -2.366 -0.147 5.488 -5.021 3.306" Properties=species:S:1:pos:R:3 pbc="T T T"
P 0.000 0.000 0.000
Rh 0.502 -1.968 1.264
Rh 2.165 -6.309 4.064
Ru 1.333 -4.138 2.664
```

Properties
Space-group type: R-3m, No. 166
Uncorrected energy (eV per atom): -8.212
Formation enthalpy at 0 K (meV/atom): -151
Spin magnetization (μB/atom): 0.000

=====

[12]
The following is a GGA-PBEsol calculation of an optimized crystal structure of Sc2Co2Cu, from Alexandria via LeMat-Bulk.

Structure (extended XYZ):
```
10
Lattice="-1.819 0.547 -3.111 5.200 -1.451 -3.295 -1.733 -6.082 -0.055" Properties=species:S:1:pos:R:3 pbc="T T T"
Sc -1.159 -4.108 -2.179
Sc 1.191 -5.711 -3.835
Sc 2.807 -2.879 -4.283
Sc 0.457 -1.276 -2.627
Co 0.427 -5.851 -1.277
Co 3.453 -5.081 -2.911
Co 3.040 -1.683 -2.073
Co 0.014 -2.453 -0.439
Cu 0.000 0.000 0.000
Cu 1.733 -3.767 -1.675
```

Properties
Space-group type: P4/mbm, No. 127
Uncorrected energy (eV per atom): -6.839
Formation enthalpy at 0 K (meV/atom): -235
Energy above the most stable polymorph in this dataset (meV/atom): 0
Spin magnetization (μB/atom): 0.000

=====

[13]
The following is a GGA-PBEsol calculation of an optimized crystal structure of LaZnFeWO6, from Alexandria via LeMat-Bulk.

Structure (extended XYZ):
```
20
Lattice="-4.097 3.381 1.033 -0.255 -1.947 5.362 4.954 5.437 2.210" Properties=species:S:1:pos:R:3 pbc="T T T"
La -2.959 3.334 5.283
La 1.664 5.113 3.804
Zn -0.834 2.313 2.899
Zn -0.485 6.119 6.181
Fe -4.144 2.946 2.242
Fe 0.241 2.903 5.778
W -2.260 0.185 4.696
W 2.407 2.299 2.295
O 0.981 4.842 6.200
O 0.666 1.300 2.190
O 3.675 4.688 5.373
O -0.812 3.951 3.982
O 1.829 2.555 4.301
O -2.676 1.685 3.279
O -0.144 6.669 3.964
O -0.698 1.305 4.973
O 1.506 3.865 1.732
O -3.253 1.054 6.052
O 3.509 6.174 2.664
O -1.250 3.362 6.988
```

Properties
Space-group type: Pc, No. 7
Uncorrected energy (eV per atom): -8.141
Spin magnetization (μB/atom): 0.300

=====

[14]
The following is a GGA-PBEsol calculation of an optimized crystal structure of Cs2InAgBr6, from Alexandria via LeMat-Bulk.

Structure (extended XYZ):
```
10
Lattice="7.709 0.000 0.000 3.854 6.676 0.000 3.854 2.225 6.294" Properties=species:S:1:pos:R:3 pbc="T T T"
Cs 11.563 6.676 4.721
Cs 3.854 2.225 1.574
In 0.000 0.000 0.000
Ag 7.709 4.451 3.147
Br 7.709 2.197 1.554
Br 9.660 5.577 1.554
Br 7.709 6.704 4.740
Br 9.660 3.324 4.740
Br 5.757 5.577 1.554
Br 5.757 3.324 4.740
```

Properties
Space-group type: Fm-3m, No. 225
Uncorrected energy (eV per atom): -3.081
Spin magnetization (μB/atom): 0.000

=====

[15]
The following is a GGA-PBEsol calculation of an optimized crystal structure of TmMn2Si2, from Alexandria via LeMat-Bulk.

Structure (extended XYZ):
```
5
Lattice="-3.448 -0.592 -1.522 1.364 -3.000 -1.923 -0.154 -1.244 5.615" Properties=species:S:1:pos:R:3 pbc="T T T"
Si -1.327 -2.520 -0.795
Si -0.911 -2.316 2.966
Tm 0.000 0.000 0.000
Mn 0.084 -3.019 0.985
Mn -2.322 -1.816 1.186
```

Properties
Space-group type: I4/mmm, No. 139
Uncorrected energy (eV per atom): -7.824
Spin magnetization (μB/atom): 0.669

=====

[16]
The following is a GGA-PBEsol calculation of an optimized crystal structure of SmCdB5O10, from Alexandria via LeMat-Bulk.

Structure (extended XYZ):
```
68
Lattice="-7.229 2.548 -1.847 -0.935 -6.578 -5.419 -3.716 -5.620 6.793" Properties=species:S:1:pos:R:3 pbc="T T T"
Sm -8.936 -3.434 2.636
Sm -5.348 -5.380 2.738
Sm -2.944 -6.217 -3.109
Sm -6.531 -4.270 -3.211
Cd -8.097 -7.315 1.561
Cd -3.873 -9.222 -0.775
Cd -3.783 -2.335 -2.033
Cd -8.007 -0.428 0.303
B -6.740 -9.173 -0.651
B -6.703 -1.300 -3.237
B -3.898 -1.883 1.810
B -5.177 -8.351 2.764
B -7.982 -7.768 -2.283
B -2.984 -4.858 1.423
B -8.199 -5.049 4.744
B -8.896 -4.793 -1.895
B -3.680 -4.601 -5.216
B -10.027 -5.674 0.212
B -5.140 -0.478 0.179
B -1.853 -3.976 -0.684
B -7.553 -4.785 0.197
B -4.653 -4.762 5.708
B -4.327 -4.865 -0.669
B -7.227 -4.889 -6.181
B -6.142 -6.684 -0.992
B -11.241 -7.946 0.395
B -5.738 -2.967 0.520
B -0.639 -1.704 -0.868
O -8.854 -5.071 0.894
O -6.289 -7.562 2.959
O -8.189 -1.184 2.366
O -5.591 -2.088 -3.431
O -3.691 -8.466 -2.838
O -7.540 -5.120 3.561
O -3.001 -5.014 2.770
O -4.340 -4.530 -4.033
O -5.071 -3.870 4.572
O -8.879 -4.637 -3.242
O -6.809 -5.780 -5.044
O -3.026 -4.580 -1.367
O -7.438 -9.214 0.651
O -9.918 -5.425 -1.242
O -4.442 -0.436 -1.124
O -1.961 -4.226 0.769
O -7.762 -8.988 -1.681
O -4.046 -7.606 2.508
O -4.117 -0.663 1.209
O -7.834 -2.044 -2.980
O -5.786 -8.058 -0.661
O -10.042 -7.119 0.461
O -6.093 -1.592 0.189
O -1.838 -2.531 -0.934
O -6.751 -6.035 0.212
O -4.294 -10.829 0.810
O -5.129 -3.616 -0.685
O -7.586 1.179 -1.282
O -6.883 -3.772 1.032
O -4.438 -6.087 5.099
O -4.997 -5.879 -1.505
O -6.707 0.070 -3.277
O -7.810 -4.311 -1.167
O -2.913 -5.736 -5.471
O -4.070 -5.339 0.694
O -8.967 -3.915 4.999
O -7.150 -6.692 -2.109
O -5.173 -9.721 2.804
O -4.730 -2.958 1.636
O -7.442 -3.564 -5.571
```

Properties
Space-group type: P2_1/c, No. 14
Uncorrected energy (eV per atom): -8.051
Spin magnetization (μB/atom): 0.000

=====

[17]
The following is a GGA-PBEsol calculation of an optimized crystal structure of Li7RuO6, from Alexandria via LeMat-Bulk.

Structure (extended XYZ):
```
14
Lattice="5.263 0.017 -0.002 -2.612 4.652 0.008 -2.517 -1.520 4.931" Properties=species:S:1:pos:R:3 pbc="T T T"
Ru -0.001 0.037 0.022
O -1.805 3.289 1.145
O -0.767 1.740 3.975
O -3.611 3.052 3.677
O 3.701 0.097 1.180
O 0.930 1.393 1.085
O 1.908 -0.062 3.750
Li -1.771 3.052 3.098
Li 2.870 1.619 0.205
Li 1.634 3.029 1.692
Li -1.454 0.231 3.127
Li -2.644 1.424 4.921
Li 1.970 -0.052 1.766
Li 0.804 1.434 3.050
```

Properties
Space-group type: P1, No. 1
Uncorrected energy (eV per atom): -5.675
Spin magnetization (μB/atom): 0.214

=====

[18]
The following is a GGA-PBEsol calculation of an optimized crystal structure of SrLaSe2, from Alexandria via LeMat-Bulk.

Structure (extended XYZ):
```
4
Lattice="-0.367 5.156 -0.283 -2.278 2.213 -4.088 -4.607 2.300 0.534" Properties=species:S:1:pos:R:3 pbc="T T T"
La -3.626 4.834 -1.918
Se 0.000 0.000 0.000
Se -5.439 7.252 -2.878
Sr -1.813 2.417 -0.959
```

Properties
Space-group type: F-43m, No. 216
Uncorrected energy (eV per atom): -4.539
Energy above the most stable polymorph in this dataset (meV/atom): 1199
Spin magnetization (μB/atom): 0.000

=====

[19]
The following is a GGA-PBEsol calculation of an optimized crystal structure of MnSi2, from Alexandria via LeMat-Bulk.

Structure (extended XYZ):
```
3
Lattice="-1.257 -1.751 -1.203 3.557 -2.061 -0.716 -2.208 -0.786 3.453" Properties=species:S:1:pos:R:3 pbc="T T T"
Si -0.287 -1.211 2.063
Si 1.635 -1.636 0.673
Mn -0.629 -0.876 -0.601
```

Properties
Space-group type: P6/mmm, No. 191
Uncorrected energy (eV per atom): -6.937
Spin magnetization (μB/atom): 0.672

=====

[20]
The following is a GGA-PBEsol calculation of an optimized crystal structure of ZrCo4Os, from Alexandria via LeMat-Bulk.

Structure (extended XYZ):
```
6
Lattice="-4.583 -0.367 -1.078 -1.365 -2.711 -3.618 -2.301 -4.043 0.815" Properties=species:S:1:pos:R:3 pbc="T T T"
Os -6.186 -5.341 -2.910
Co -3.096 -2.673 -1.456
Co -4.243 -4.689 -1.050
Co -5.381 -2.856 -1.994
Co -3.776 -4.025 -3.261
Zr 0.000 0.000 0.000
```

Properties
Space-group type: F-43m, No. 216
Uncorrected energy (eV per atom): -8.843
Formation enthalpy at 0 K (meV/atom): -134
Spin magnetization (μB/atom): 1.026